Record 1
## AlAgMo2 (PBE)

Data for an optimized crystal structure of AlAgMo2.

a = 3.7932 Å, b = 3.7932 Å, c = 8.8618 Å
α = 90.00°, β = 90.00°, γ = 90.00°
Fractional coordinates of all 8 atoms:
Al (0.0000, 0.0000, 0.0000)
Al (0.5000, 0.5000, 0.5000)
Ag (0.0000, 0.0000, 0.5000)
Ag (0.5000, 0.5000, 0.0000)
Mo (0.0000, 0.5000, 0.2500)
Mo (0.0000, 0.5000, 0.7500)
Mo (0.5000, 0.0000, 0.2500)
Mo (0.5000, 0.0000, 0.7500)

Size of the total moment ... 0.000 μB/f.u.
E_form ... 169 meV per atom
Raw total energy ... -6.89 eV/atom
Crystal system ... tetragonal
Space group ... I4/mmm

Record 2
## LaNi2HOs (PBE)

Data for an optimized crystal structure of LaNi2HOs.

a = 4.7617 Å, b = 4.7617 Å, c = 3.5883 Å
α = 90.00°, β = 90.00°, γ = 90.00°
Fractional coordinates of all 5 atoms:
La (0.0000, 0.0000, 0.0000)
Ni (0.0000, 0.5000, 0.0000)
Ni (0.5000, 0.0000, 0.0000)
H (0.0000, 0.0000, 0.5000)
Os (0.5000, 0.5000, 0.5000)

Size of the total moment ... 2.110 μB/f.u.
Raw total energy ... -4.86 eV/atom
Crystal system ... tetragonal
Space group ... P4/mmm

Record 3
## MgZnTc2 (PBE)

Data for an optimized crystal structure of MgZnTc2.

a = 8.8376 Å, b = 2.7916 Å, c = 4.9795 Å
α = 90.00°, β = 96.42°, γ = 90.00°
Fractional coordinates of all 8 atoms:
Mg (0.0000, 0.0000, 0.0000)
Mg (0.5000, 0.5000, 0.0000)
Zn (0.2475, 0.0000, 0.7792)
Zn (0.7475, 0.5000, 0.7792)
Tc (0.0069, 0.5000, 0.4950)
Tc (0.2552, 0.5000, 0.2999)
Tc (0.5069, 0.0000, 0.4950)
Tc (0.7552, 0.0000, 0.2999)

Size of the total moment ... 0.000 μB/f.u.
E_form ... 133 meV per atom
Raw total energy ... -5.77 eV/atom
Crystal system ... monoclinic
Space group ... Cm
Energy above the lowest structure with this stoichiometry ... 185 meV/atom